Record 1
A plane-wave DFT calculation with PBE was carried out for YPbAu after structural relaxation.

Lattice parameters (Å, degrees): 4.810 6.092 6.100 104.70 66.86 113.21
Fractional positions:
Y  0.818  0.493  0.723
Y  0.838  0.024  0.212
Pb  0.156  0.106  0.660
Pb  0.171  0.623  0.147
Au  0.495  0.427  0.304
Au  0.500  0.842  0.709

Values from the calculation:
**Space-group type**: P1, No. 1
**ΔH_f (0 K)**: -1.61 eV per formula unit
**Fermi-level density of states**: 3.59 states/eV/cell


Record 2
A plane-wave DFT calculation with PBE was carried out for Ho4Ga3Ru after structural relaxation.

Lattice parameters (Å, degrees): 3.496 3.496 14.252 90.00 90.00 90.00
Fractional positions:
Ru  0.500  0.500  0.000
Ho  0.000  0.000  0.886
Ho  0.000  0.000  0.114
Ho  0.000  0.000  0.371
Ho  0.000  0.000  0.629
Ga  0.500  0.500  0.244
Ga  0.500  0.500  0.500
Ga  0.500  0.500  0.756

Values from the calculation:
**Space-group type**: P4/mmm, No. 123
**ΔH_f (0 K)**: -4.49 eV per formula unit
**Fermi-level density of states**: 4.40 states/eV/cell


Record 3
A plane-wave DFT calculation with PBE was carried out for Pr4GePtSe2 after structural relaxation.

Lattice parameters (Å, degrees): 4.255 7.580 7.397 70.92 90.00 90.00
Fractional positions:
Pr  0.000  0.737  0.757
Pr  0.000  0.263  0.243
Pr  0.500  0.743  0.254
Pr  0.500  0.257  0.746
Ge  0.000  0.500  0.500
Pt  0.500  0.500  0.000
Se  0.000  0.000  0.000
Se  0.500  0.000  0.500

Values from the calculation:
**Space-group type**: P2/m, No. 10
**Uncorrected formation energy**: -11.0 eV/f.u.
**Fermi-level density of states**: 6.59 states/eV/cell


Record 4
A plane-wave DFT calculation with PBE was carried out for La2DyTl4 after structural relaxation.

Lattice parameters (Å, degrees): 5.362 5.362 8.624 108.11 108.11 90.00
Fractional positions:
Tl  0.391  0.891  0.783
Tl  0.891  0.391  0.783
Tl  0.609  0.109  0.217
Tl  0.109  0.609  0.217
Dy  0.000  0.000  0.000
La  0.748  0.748  0.495
La  0.252  0.252  0.505

Values from the calculation:
**Polymorph energy (0 for the lowest one)**: 0 meV/atom
**Space-group type**: I4/mmm, No. 139
**ΔH_f (0 K)**: -1.85 eV per formula unit
**Fermi-level density of states**: 6.08 states/eV/cell


Number 1: total DFT energy (no corrections) -30.12 eV for the cell shown, theoretical density 10915 kg/m³, total moment 0.00 μB per formula unit. Number 2: total DFT energy (no corrections) -41.16 eV for the cell shown, theoretical density 9245 kg/m³, total moment 0.00 μB per formula unit. Number 3: total DFT energy (no corrections) -47.76 eV for the cell shown, theoretical density 7285 kg/m³, total moment 0.00 μB per formula unit. Number 4: total DFT energy (no corrections) -25.77 eV for the cell shown, theoretical density 9378 kg/m³, total moment 0.00 μB per formula unit.